Entry 1:
A plane-wave DFT calculation with meta-GGA SCAN was carried out for SbP at its PBEsol-relaxed geometry.

CIF file:
```
data_SbP
_space_group_name_H-M_alt 'P 1'
_space_group_IT_number 1
_space_group_name_Hall 'P 1'
_cell_length_a 3.920
_cell_length_b 5.557
_cell_length_c 6.252
_cell_angle_alpha 90.42
_cell_angle_beta 108.27
_cell_angle_gamma 90.00
loop_
_atom_site_label
_atom_site_fract_x
_atom_site_fract_y
_atom_site_fract_z
P1 0.175 0.497 0.349
P2 0.825 0.503 0.651
P3 0.500 0.000 0.000
Sb1 0.500 0.500 0.000
Sb2 0.158 0.016 0.316
Sb3 0.842 0.984 0.684
```

Calculated values
Energy above the lowest structure with this stoichiometry (meV per atom): 0
V (A^3/atom): 21.549
Total energy (eV/atom): -23.573
Symmetry: No. 12

=====

Entry 2:
A plane-wave DFT calculation with meta-GGA SCAN was carried out for SbP2 at its PBEsol-relaxed geometry.

CIF file:
```
data_SbP2
_space_group_name_H-M_alt 'P 1'
_space_group_IT_number 1
_space_group_name_Hall 'P 1'
_cell_length_a 3.379
_cell_length_b 3.379
_cell_length_c 5.106
_cell_angle_alpha 90.00
_cell_angle_beta 90.00
_cell_angle_gamma 90.00
loop_
_atom_site_label
_atom_site_fract_x
_atom_site_fract_y
_atom_site_fract_z
Sb1 0.000 0.000 0.000
P1 0.000 0.500 0.500
P2 0.500 0.000 0.500
```

Calculated values
Energy above the lowest structure with this stoichiometry (meV per atom): 438
V (A^3/atom): 19.439
Total energy (eV/atom): -18.834
Symmetry: No. 123

=====

Entry 3:
A plane-wave DFT calculation with meta-GGA SCAN was carried out for SbP at its PBEsol-relaxed geometry.

CIF file:
```
data_SbP
_space_group_name_H-M_alt 'P 1'
_space_group_IT_number 1
_space_group_name_Hall 'P 1'
_cell_length_a 4.150
_cell_length_b 4.150
_cell_length_c 11.559
_cell_angle_alpha 90.00
_cell_angle_beta 90.00
_cell_angle_gamma 120.00
loop_
_atom_site_label
_atom_site_fract_x
_atom_site_fract_y
_atom_site_fract_z
P1 0.000 0.000 0.750
P2 0.000 0.000 0.250
P3 0.667 0.333 0.250
P4 0.333 0.667 0.750
Sb1 0.667 0.333 0.925
Sb2 0.333 0.667 0.425
Sb3 0.333 0.667 0.075
Sb4 0.667 0.333 0.575
```

Calculated values
Energy above the lowest structure with this stoichiometry (meV per atom): 272
V (A^3/atom): 21.555
Total energy (eV/atom): -23.301
Symmetry: No. 194

=====

Entry 4:
A plane-wave DFT calculation with meta-GGA SCAN was carried out for SbP at its PBEsol-relaxed geometry.

CIF file:
```
data_SbP
_space_group_name_H-M_alt 'P 1'
_space_group_IT_number 1
_space_group_name_Hall 'P 1'
_cell_length_a 4.848
_cell_length_b 4.848
_cell_length_c 4.848
_cell_angle_alpha 60.00
_cell_angle_beta 60.00
_cell_angle_gamma 60.00
loop_
_atom_site_label
_atom_site_fract_x
_atom_site_fract_y
_atom_site_fract_z
Sb1 0.000 0.000 0.000
Sb2 0.250 0.250 0.250
P1 0.500 0.500 0.500
P2 0.750 0.750 0.750
```

Calculated values
Energy above the lowest structure with this stoichiometry (meV per atom): 477
V (A^3/atom): 20.136
Total energy (eV/atom): -23.096
Symmetry: No. 227

=====

Entry 5:
A plane-wave DFT calculation with meta-GGA SCAN was carried out for SbP2 at its PBEsol-relaxed geometry.

CIF file:
```
data_SbP2
_space_group_name_H-M_alt 'P 1'
_space_group_IT_number 1
_space_group_name_Hall 'P 1'
_cell_length_a 3.190
_cell_length_b 5.903
_cell_length_c 8.312
_cell_angle_alpha 112.93
_cell_angle_beta 90.00
_cell_angle_gamma 105.68
loop_
_atom_site_label
_atom_site_fract_x
_atom_site_fract_y
_atom_site_fract_z
Sb1 0.075 0.150 0.687
Sb2 0.925 0.850 0.313
P1 0.139 0.278 0.266
P2 0.608 0.215 0.070
P3 0.392 0.785 0.930
P4 0.861 0.722 0.734
```

Calculated values
Energy above the lowest structure with this stoichiometry (meV per atom): 0
V (A^3/atom): 22.967
Total energy (eV/atom): -19.272
Symmetry: No. 12

=====

Entry 6:
A plane-wave DFT calculation with meta-GGA SCAN was carried out for Sc6Sb2P at its PBEsol-relaxed geometry.

CIF file:
```
data_Sc6Sb2P
_space_group_name_H-M_alt 'P 1'
_space_group_IT_number 1
_space_group_name_Hall 'P 1'
_cell_length_a 3.855
_cell_length_b 7.497
_cell_length_c 7.497
_cell_angle_alpha 120.00
_cell_angle_beta 90.00
_cell_angle_gamma 90.00
loop_
_atom_site_label
_atom_site_fract_x
_atom_site_fract_y
_atom_site_fract_z
P1 0.500 0.000 0.000
Sb1 0.000 0.333 0.667
Sb2 0.000 0.667 0.333
Sc1 0.500 0.000 0.393
Sc2 0.500 0.393 0.000
Sc3 0.500 0.607 0.607
Sc4 0.000 0.000 0.759
Sc5 0.000 0.759 0.000
Sc6 0.000 0.241 0.241
```

Calculated values
V (A^3/atom): 20.849
Total energy (eV/atom): -19.877
Symmetry: No. 189

=====

Entry 7:
A plane-wave DFT calculation with meta-GGA SCAN was carried out for ScSbP2 at its PBEsol-relaxed geometry.

CIF file:
```
data_ScSbP2
_space_group_name_H-M_alt 'P 1'
_space_group_IT_number 1
_space_group_name_Hall 'P 1'
_cell_length_a 3.814
_cell_length_b 3.882
_cell_length_c 5.500
_cell_angle_alpha 90.89
_cell_angle_beta 90.00
_cell_angle_gamma 90.00
loop_
_atom_site_label
_atom_site_fract_x
_atom_site_fract_y
_atom_site_fract_z
P1 0.000 0.027 0.874
P2 0.500 0.493 0.364
Sb1 0.000 0.950 0.401
Sc1 0.500 0.530 0.861
```

Calculated values
V (A^3/atom): 20.359
Total energy (eV/atom): -18.730
Symmetry: No. 6

=====

Entry 8:
A plane-wave DFT calculation with meta-GGA SCAN was carried out for ScSbP2 at its PBEsol-relaxed geometry.

CIF file:
```
data_ScSbP2
_space_group_name_H-M_alt 'P 1'
_space_group_IT_number 1
_space_group_name_Hall 'P 1'
_cell_length_a 3.441
_cell_length_b 4.601
_cell_length_c 4.601
_cell_angle_alpha 90.00
_cell_angle_beta 90.00
_cell_angle_gamma 90.00
loop_
_atom_site_label
_atom_site_fract_x
_atom_site_fract_y
_atom_site_fract_z
P1 0.000 0.000 0.500
P2 0.000 0.500 0.000
Sb1 0.500 0.500 0.500
Sc1 0.500 0.000 0.000
```

Calculated values
V (A^3/atom): 18.210
Total energy (eV/atom): -18.346
Symmetry: No. 123